Record 1
# PBE AcPrZnNi, relaxed
data_AcPrZnNi
_space_group_name_H-M_alt 'F -4 3 m'
_space_group_IT_number 216
_space_group_name_Hall 'F -4 2 3'
_cell_length_a 7.4356
_cell_length_b 7.4356
_cell_length_c 7.4356
_cell_angle_alpha 90.00
_cell_angle_beta 90.00
_cell_angle_gamma 90.00
loop_
_atom_site_label
_atom_site_type_symbol
_atom_site_fract_x
_atom_site_fract_y
_atom_site_fract_z
_atom_site_occupancy
Ac1 Ac 0.0000 0.0000 0.0000 1
Pr1 Pr 0.0000 0.0000 0.5000 1
Zn1 Zn 0.2500 0.2500 0.2500 1
Ni1 Ni 0.2500 0.2500 0.7500 1
# - energy of formation (meV/atom) = -168
# - relative energy among the computed polymorphs (kJ per mole of atoms) = 8.8

Record 2
# PBE Ac4Ni2Pt, relaxed
data_Ac4Ni2Pt
_space_group_name_H-M_alt 'C 1 2/m 1'
_space_group_IT_number 12
_space_group_name_Hall '-C 2y'
_cell_length_a 15.6889
_cell_length_b 4.4156
_cell_length_c 7.4495
_cell_angle_alpha 90.00
_cell_angle_beta 117.99
_cell_angle_gamma 90.00
loop_
_atom_site_label
_atom_site_type_symbol
_atom_site_fract_x
_atom_site_fract_y
_atom_site_fract_z
_atom_site_occupancy
Ac1 Ac 0.1287 0.0000 0.2906 1
Ac2 Ac 0.1366 0.5000 0.8054 1
Ni1 Ni 0.2492 0.0000 0.7497 1
Pt1 Pt 0.0000 0.5000 0.0000 1
# - energy of formation (meV/atom) = -456
# - relative energy among the computed polymorphs (kJ per mole of atoms) = 0.0

Record 3
# PBE Ac8NiPt4, relaxed
data_Ac8NiPt4
_space_group_name_H-M_alt 'C 1 m 1'
_space_group_IT_number 8
_space_group_name_Hall 'C -2y'
_cell_length_a 21.5631
_cell_length_b 4.4423
_cell_length_c 14.2708
_cell_angle_alpha 90.00
_cell_angle_beta 129.30
_cell_angle_gamma 90.00
loop_
_atom_site_label
_atom_site_type_symbol
_atom_site_fract_x
_atom_site_fract_y
_atom_site_fract_z
_atom_site_occupancy
Ac1 Ac 0.0000 0.0000 0.0000 1
Ac2 Ac 0.0417 0.0000 0.7556 1
Ac3 Ac 0.1009 0.5000 0.5790 1
Ac4 Ac 0.1458 0.5000 0.3195 1
Ac5 Ac 0.1906 0.5000 0.0773 1
Ac6 Ac 0.2857 0.0000 0.9151 1
Ac7 Ac 0.3624 0.0000 0.4151 1
Ac8 Ac 0.4432 0.5000 0.2408 1
Ni1 Ni 0.0225 0.5000 0.8778 1
Pt1 Pt 0.1687 0.5000 0.8387 1
Pt2 Pt 0.1812 0.0000 0.2188 1
Pt3 Pt 0.4670 0.0000 0.1199 1
Pt4 Pt 0.4802 0.5000 0.4902 1
# - energy of formation (meV/atom) = -678

Calculated volume readings, ordered: 102.8, 227.9, 528.9 Å³/f.u.
DFT total energy readings, ordered: -4.1539, -5.3189, -5.5097 eV per atom